Entry 1
Material: RbAs2WSe
Method: DFT, GGA-PBE
State: relaxed

Magnetic moment = 0.00 μB/f.u.
DOS(E_F) = 12.359 states/eV/cell
Theoretical density = 5.62 g/cm3

a b c (Å): 5.238 5.238 5.370
angles (deg): 90.00 90.00 90.00
Fractional coordinates of all 5 atoms:
Rb1 0.000 0.000 0.000
As1 0.500 0.000 0.000
As2 0.000 0.500 0.000
Se1 0.000 0.000 0.500
W1 0.500 0.500 0.500

Entry 2
Material: RbAs2WSe
Method: DFT, GGA-PBE
State: relaxed

Magnetic moment = 0.00 μB/f.u.
DOS(E_F) = 4.187 states/eV/cell
Theoretical density = 6.45 g/cm3

a b c (Å): 4.961 4.961 5.210
angles (deg): 90.00 90.00 90.00
Fractional coordinates of all 5 atoms:
As1 0.500 0.000 0.000
As2 0.000 0.500 0.000
Rb1 0.500 0.500 0.500
W1 0.000 0.000 0.000
Se1 0.000 0.000 0.500

Tell me which of them is the least stable. Sure, it is entry 1.

Entry 1
Material: RbZnAs2Se
Method: DFT, GGA-PBE
State: relaxed

Magnetic moment = 0.00 μB/f.u.
DOS(E_F) = 4.293 states/eV/cell
Theoretical density = 4.72 g/cm3

a b c (Å): 4.975 4.975 5.395
angles (deg): 90.00 90.00 90.00
Fractional coordinates of all 5 atoms:
Zn1 0.000 0.000 0.000
Rb1 0.500 0.500 0.500
As1 0.000 0.500 0.000
Se1 0.000 0.000 0.500
As2 0.500 0.000 0.000

Entry 2
Material: RbZnAs2Se
Method: DFT, GGA-PBE
State: relaxed

Magnetic moment = 4.71 μB/f.u.
DOS(E_F) = 8.202 states/eV/cell
Theoretical density = 1.79 g/cm3

a b c (Å): 7.309 7.309 6.584
angles (deg): 90.00 90.00 90.00
Each line ends with the local moment (μB).
Fractional coordinates of all 5 atoms:
Zn1 0.500 0.500 0.500  0.03
As1 0.000 0.500 0.000  1.19
Rb1 0.000 0.000 0.000  0.03
Se1 0.000 0.000 0.500  -0.50
As2 0.500 0.000 0.000  1.19

Tell me which of them is the least stable. Sure, it is entry 2.

Entry 1
Material: RbSn3As
Method: DFT, GGA-PBE
State: relaxed

Magnetic moment = 0.00 μB/f.u.
DOS(E_F) = 3.825 states/eV/cell
Theoretical density = 4.78 g/cm3

a b c (Å): 5.639 5.639 5.639
angles (deg): 90.00 90.00 90.00
Fractional coordinates of all 5 atoms:
Rb1 0.500 0.500 0.500
Sn1 0.000 0.500 0.000
As1 0.000 0.000 0.000
Sn2 0.000 0.000 0.500
Sn3 0.500 0.000 0.000

Entry 2
Material: RbSn3As
Method: DFT, GGA-PBE
State: relaxed

Magnetic moment = 0.00 μB/f.u.
DOS(E_F) = 7.219 states/eV/cell
Theoretical density = 4.00 g/cm3

a b c (Å): 5.985 5.985 5.985
angles (deg): 90.00 90.00 90.00
Fractional coordinates of all 5 atoms:
Sn1 0.500 0.000 0.000
As1 0.500 0.500 0.500
Rb1 0.000 0.000 0.000
Sn2 0.000 0.000 0.500
Sn3 0.000 0.500 0.000

Tell me which of them is the least stable. Sure, it is entry 2.

Entry 1
Material: RbSrAs3
Method: DFT, GGA-PBE
State: relaxed

Magnetic moment = 0.00 μB/f.u.
DOS(E_F) = 4.267 states/eV/cell
Theoretical density = 3.81 g/cm3

a b c (Å): 5.577 5.577 5.577
angles (deg): 90.00 90.00 90.00
Fractional coordinates of all 5 atoms:
As1 0.000 0.000 0.500
As2 0.000 0.500 0.000
As3 0.500 0.000 0.000
Sr1 0.500 0.500 0.500
Rb1 0.000 0.000 0.000

Entry 2
Material: RbSrAs3
Method: DFT, GGA-PBE
State: relaxed

Magnetic moment = 0.00 μB/f.u.
DOS(E_F) = 2.862 states/eV/cell
Theoretical density = 3.41 g/cm3

a b c (Å): 5.788 5.788 5.788
angles (deg): 90.00 90.00 90.00
Fractional coordinates of all 5 atoms:
As1 0.000 0.500 0.000
As2 0.000 0.000 0.500
As3 0.500 0.000 0.000
Rb1 0.500 0.500 0.500
Sr1 0.000 0.000 0.000

Tell me which of them is the least stable. Sure, it is entry 1.

Entry 1
Material: Rb3SrAs
Method: DFT, GGA-PBE
State: relaxed

Magnetic moment = 0.00 μB/f.u.
DOS(E_F) = 1.604 states/eV/cell
Theoretical density = 2.15 g/cm3

a b c (Å): 6.864 6.864 6.864
angles (deg): 90.00 90.00 90.00
Fractional coordinates of all 5 atoms:
As1 0.000 0.000 0.000
Rb1 0.000 0.500 0.000
Rb2 0.500 0.000 0.000
Rb3 0.000 0.000 0.500
Sr1 0.500 0.500 0.500

Entry 2
Material: Rb3SrAs
Method: DFT, GGA-PBE
State: relaxed

Magnetic moment = 0.09 μB/f.u.
DOS(E_F) = 9.869 states/eV/cell
Theoretical density = 1.44 g/cm3

a b c (Å): 7.839 7.839 7.839
angles (deg): 90.00 90.00 90.00
Each line ends with the local moment (μB).
Fractional coordinates of all 5 atoms:
Rb1 0.000 0.000 0.500  0.02
As1 0.500 0.500 0.500  -0.67
Rb2 0.000 0.500 0.000  0.03
Sr1 0.000 0.000 0.000  0.11
Rb3 0.500 0.000 0.000  0.03

Tell me which of them is the least stable. Sure, it is entry 2.

Entry 1
Material: Rb2SrAs
Method: DFT, GGA-PBE
State: relaxed

Magnetic moment = 0.00 μB/f.u.
DOS(E_F) = 3.026 states/eV/cell
Theoretical density = 3.30 g/cm3

a b c (Å): 6.192 6.192 6.192
angles (deg): 60.00 60.00 60.00
Fractional coordinates of all 4 atoms:
As1 0.000 0.000 0.000
Sr1 0.500 0.500 0.500
Rb1 0.250 0.250 0.250
Rb2 0.750 0.750 0.750

Entry 2
Material: Rb2SrAs
Method: DFT, GGA-PBE
State: relaxed

Magnetic moment = 0.00 μB/f.u.
DOS(E_F) = 4.868 states/eV/cell
Theoretical density = 2.22 g/cm3

a b c (Å): 12.887 12.887 9.594
angles (deg): 47.81 47.81 90.00
Fractional coordinates of all 8 atoms:
As1 0.500 0.500 0.000
Sr1 0.750 0.250 0.500
Rb1 0.472 0.125 0.250
As2 0.250 0.750 0.500
Rb2 0.375 0.528 0.750
Rb3 0.875 0.722 0.750
Rb4 0.278 0.625 0.250
Sr2 0.000 0.000 0.000

Tell me which of them is the least stable. Sure, it is entry 1.

Entry 1
Material: Rb2SrAs2
Method: DFT, GGA-PBE
State: relaxed

Magnetic moment = 0.00 μB/f.u.
DOS(E_F) = 3.212 states/eV/cell
Theoretical density = 3.71 g/cm3

a b c (Å): 7.974 7.974 5.753
angles (deg): 90.00 90.00 90.00
Fractional coordinates of all 10 atoms:
As1 0.113 0.387 0.000
Rb1 0.163 0.663 0.500
Sr1 0.000 0.000 0.000
Rb2 0.837 0.337 0.500
Rb3 0.663 0.837 0.500
As2 0.613 0.113 0.000
As3 0.887 0.613 0.000
As4 0.387 0.887 0.000
Sr2 0.500 0.500 0.000
Rb4 0.337 0.163 0.500

Entry 2
Material: Rb2SrAs2
Method: DFT, GGA-PBE
State: relaxed

Magnetic moment = 0.00 μB/f.u.
DOS(E_F) = 2.355 states/eV/cell
Theoretical density = 3.99 g/cm3

a b c (Å): 4.762 4.762 8.214
angles (deg): 73.15 73.15 90.00
Fractional coordinates of all 5 atoms:
Rb1 0.750 0.250 0.500
Sr1 0.000 0.000 0.000
As1 0.583 0.583 0.833
As2 0.417 0.417 0.167
Rb2 0.250 0.750 0.500

Tell me which of them is the least stable. Sure, it is entry 2.

Entry 1
Material: RbSr2As
Method: DFT, GGA-PBE
State: relaxed

Magnetic moment = 0.00 μB/f.u.
DOS(E_F) = 2.915 states/eV/cell
Theoretical density = 2.49 g/cm3

a b c (Å): 4.587 4.587 12.541
angles (deg): 79.46 79.46 60.00
Fractional coordinates of all 4 atoms:
Sr1 0.877 0.877 0.370
Sr2 0.123 0.123 0.630
As1 0.500 0.500 0.500
Rb1 0.000 0.000 0.000

Entry 2
Material: RbSr2As
Method: DFT, GGA-PBE
State: relaxed

Magnetic moment = 0.00 μB/f.u.
DOS(E_F) = 1.858 states/eV/cell
Theoretical density = 2.77 g/cm3

a b c (Å): 10.389 10.389 8.241
angles (deg): 50.92 50.92 90.00
Fractional coordinates of all 8 atoms:
Sr1 0.504 0.125 0.250
Rb1 0.750 0.250 0.500
Sr2 0.375 0.496 0.750
Sr3 0.246 0.625 0.250
Rb2 0.000 0.000 0.000
As1 0.500 0.500 0.000
As2 0.250 0.750 0.500
Sr4 0.875 0.754 0.750

Tell me which of them is the least stable. Sure, it is entry 2.